Entry 1:
# K2Sn2Hg3S8 GGA-PBE optimized geometry
# Total magnetization (μB per formula unit): 0.00
# E_tot (eV per atom): -3.47
# Energy relative to the elements, uncorrected (meV/atom): -527
data_K2Sn2Hg3S8
_space_group_name_H-M_alt 'A e a 2'
_space_group_IT_number 41
_space_group_name_Hall 'A 2 -2ab'
_cell_length_a 19.9980
_cell_length_b 10.0256
_cell_length_c 8.8497
_cell_angle_alpha 90.00
_cell_angle_beta 90.00
_cell_angle_gamma 90.00
loop_
_atom_site_label
_atom_site_fract_x
_atom_site_fract_y
_atom_site_fract_z
K1 0.1176 0.2060 0.0000
Sn1 0.1357 0.2133 0.4917
Hg1 0.0000 0.0000 0.6394
Hg2 0.2469 0.4605 0.8021
S1 0.0327 0.2279 0.6431
S2 0.1276 0.0120 0.3385
S3 0.1327 0.4145 0.3367
S4 0.2330 0.2125 0.6458

=====

Entry 2:
# K2Hg2Te2S GGA-PBE optimized geometry
# Total magnetization (μB per formula unit): 0.00
# E_tot (eV per atom): -2.48
# Energy relative to the elements, uncorrected (meV/atom): -595
data_K2Hg2Te2S
_space_group_name_H-M_alt 'C 1 2/m 1'
_space_group_IT_number 12
_space_group_name_Hall '-C 2y'
_cell_length_a 15.1230
_cell_length_b 4.6237
_cell_length_c 8.4956
_cell_angle_alpha 90.00
_cell_angle_beta 123.81
_cell_angle_gamma 90.00
loop_
_atom_site_label
_atom_site_fract_x
_atom_site_fract_y
_atom_site_fract_z
K1 0.0542 0.0000 0.3152
Hg1 0.1932 0.5000 0.7889
Te1 0.1771 0.5000 0.1369
S1 0.0000 0.5000 0.5000